1.
VASP calculation (PBE) on an optimized crystal structure of ErIn3I6.

The structure in CIF format:
```
data_ErIn3I6
_cell_length_a 8.063
_cell_length_b 9.166
_cell_length_c 13.773
_cell_angle_alpha 90.00
_cell_angle_beta 120.82
_cell_angle_gamma 90.00
_symmetry_space_group_name_H-M 'P 1 21/c 1'
_symmetry_Int_Tables_number 14
loop_
_symmetry_equiv_pos_as_xyz
'x,y,z'
'-x,-y,-z'
'-x,y+1/2,-z+1/2'
'x,-y+1/2,z+1/2'
loop_
_atom_site_label
_atom_site_type_symbol
_atom_site_fract_x
_atom_site_fract_y
_atom_site_fract_z
Er1 Er 0.000 0.000 0.000
In1 In 0.315 0.099 0.780
In2 In 0.500 0.000 0.500
I1 I 0.087 0.061 0.237
I2 I 0.235 0.721 0.080
I3 I 0.357 0.166 0.047
```

Results
**Volume**: 43.7 Å³/atom
**Uncorrected formation energy**: -821.7 meV per atom
**Magnetic moment**: 0.0 μB per cell
**Density**: 4.84 g cm⁻³


2.
VASP calculation (PBE) on an optimized crystal structure of ErInI3.

The structure in CIF format:
```
data_ErInI3
_cell_length_a 5.970
_cell_length_b 5.970
_cell_length_c 5.970
_cell_angle_alpha 90.00
_cell_angle_beta 90.00
_cell_angle_gamma 90.00
_symmetry_space_group_name_H-M 'P m -3 m'
_symmetry_Int_Tables_number 221
_symmetry_space_group_name_Hall '-P 4 2 3'
loop_
_atom_site_label
_atom_site_type_symbol
_atom_site_fract_x
_atom_site_fract_y
_atom_site_fract_z
Er1 Er 0.000 0.000 0.000
In1 In 0.500 0.500 0.500
I1 I 0.000 0.000 0.500
```

Results
**Volume**: 42.5 Å³/atom
**Uncorrected formation energy**: -703.6 meV per atom
**Magnetic moment**: 0.1 μB per cell
**Density**: 5.17 g cm⁻³


3.
VASP calculation (PBE) on an optimized crystal structure of Er2In5I12.

The structure in CIF format:
```
data_Er2In5I12
_cell_length_a 18.919
_cell_length_b 8.847
_cell_length_c 10.778
_cell_angle_alpha 90.00
_cell_angle_beta 109.44
_cell_angle_gamma 90.00
_symmetry_space_group_name_H-M 'C 1 2/m 1'
_symmetry_Int_Tables_number 12
loop_
_symmetry_equiv_pos_as_xyz
'x,y,z'
'-x,-y,-z'
'-x,y,-z'
'x,-y,z'
'x+1/2,y+1/2,z'
'-x+1/2,-y+1/2,-z'
'-x+1/2,y+1/2,-z'
'x+1/2,-y+1/2,z'
loop_
_atom_site_label
_atom_site_type_symbol
_atom_site_fract_x
_atom_site_fract_y
_atom_site_fract_z
Er1 Er 0.000 0.245 0.000
In1 In 0.000 0.500 0.500
In2 In 0.183 0.000 0.820
In3 In 0.224 0.000 0.372
I1 I 0.002 0.500 0.191
I2 I 0.007 0.000 0.203
I3 I 0.128 0.257 0.564
I4 I 0.166 0.239 0.089
```

Results
**Volume**: 44.8 Å³/atom
**Uncorrected formation energy**: -801.1 meV per atom
**Magnetic moment**: 0.0 μB per cell
**Density**: 4.75 g cm⁻³


4.
VASP calculation (PBE) on an optimized crystal structure of ErIn4I7.

The structure in CIF format:
```
data_ErIn4I7
_cell_length_a 22.515
_cell_length_b 5.844
_cell_length_c 8.418
_cell_angle_alpha 90.00
_cell_angle_beta 107.10
_cell_angle_gamma 90.00
_symmetry_space_group_name_H-M 'C 1 2/m 1'
_symmetry_Int_Tables_number 12
loop_
_symmetry_equiv_pos_as_xyz
'x,y,z'
'-x,-y,-z'
'-x,y,-z'
'x,-y,z'
'x+1/2,y+1/2,z'
'-x+1/2,-y+1/2,-z'
'-x+1/2,y+1/2,-z'
'x+1/2,-y+1/2,z'
loop_
_atom_site_label
_atom_site_type_symbol
_atom_site_fract_x
_atom_site_fract_y
_atom_site_fract_z
Er1 Er 0.000 0.000 0.000
In1 In 0.079 0.500 0.641
In2 In 0.186 0.500 0.269
I1 I 0.000 0.500 0.000
I2 I 0.082 0.000 0.354
I3 I 0.114 0.000 0.885
I4 I 0.224 0.500 0.673
```

Results
**Volume**: 44.1 Å³/atom
**Uncorrected formation energy**: -723.0 meV per atom
**Magnetic moment**: 0.0 μB per cell
**Density**: 4.75 g cm⁻³


5.
VASP calculation (PBE) on an optimized crystal structure of K2ErInI6.

The structure in CIF format:
```
data_K2ErInI6
_cell_length_a 8.6238
_cell_length_b 8.6238
_cell_length_c 22.3156
_cell_angle_alpha 90.00
_cell_angle_beta 90.00
_cell_angle_gamma 120.00
_symmetry_space_group_name_H-M 'R 3'
_symmetry_Int_Tables_number 146
_symmetry_space_group_name_Hall 'R 3'
loop_
_atom_site_label
_atom_site_type_symbol
_atom_site_fract_x
_atom_site_fract_y
_atom_site_fract_z
K1 K 0.0000 0.0000 0.0000
K2 K 0.0000 0.0000 0.4889
Er1 Er 0.0000 0.0000 0.6934
In1 In 0.0000 0.0000 0.2012
I1 I 0.0228 0.4012 0.4355
I2 I 0.0679 0.6971 0.2779
```

Results
**Volume**: 47.9 Å³/atom
**Uncorrected formation energy**: -1233.7 meV per atom
**Magnetic moment**: 0.0 μB per cell
**Density**: 3.89 g cm⁻³


6.
VASP calculation (PBE) on an optimized crystal structure of KErIn2I6.

The structure in CIF format:
```
data_KErIn2I6
_cell_length_a 8.5763
_cell_length_b 8.5763
_cell_length_c 22.3985
_cell_angle_alpha 90.00
_cell_angle_beta 90.00
_cell_angle_gamma 120.00
_symmetry_space_group_name_H-M 'R 3'
_symmetry_Int_Tables_number 146
_symmetry_space_group_name_Hall 'R 3'
loop_
_atom_site_label
_atom_site_type_symbol
_atom_site_fract_x
_atom_site_fract_y
_atom_site_fract_z
K1 K 0.0000 0.0000 0.0000
Er1 Er 0.0000 0.0000 0.4924
In1 In 0.0000 0.0000 0.2979
In2 In 0.0000 0.0000 0.8065
I1 I 0.0237 0.3913 0.2326
I2 I 0.0569 0.6742 0.0755
```

Results
**Volume**: 47.6 Å³/atom
**Uncorrected formation energy**: -1027.1 meV per atom
**Magnetic moment**: 0.0 μB per cell
**Density**: 4.18 g cm⁻³